No. 1
Computed, not measured: crystalline La6CdIn at its relaxed geometry at the PBE level of DFT.

a b c (Å): 6.450 6.464 6.469
angles (deg): 91.83 91.90 92.00
Element x y z (fractional)
La (0.021, 0.039, 0.245)
La (0.254, 0.477, 0.962)
La (0.465, 0.753, 0.475)
La (0.535, 0.247, 0.525)
La (0.746, 0.523, 0.038)
La (0.979, 0.961, 0.755)
Cd (0.000, 0.500, 0.500)
In (0.500, 0.000, 0.000)

The relative energy among the computed polymorphs is 60 meV per atom. The value obtained for the energy relative to the elements is -0.16 eV/atom. The value obtained for the density of states at the Fermi level is 11.1 states/eV/f.u.

***

No. 2
Computed, not measured: crystalline PbWS2Cl at its relaxed geometry at the PBE level of DFT.

a b c (Å): 4.781 4.781 5.649
angles (deg): 90.00 90.00 90.00
Element x y z (fractional)
Pb (0.000, 0.000, 0.000)
W (0.500, 0.500, 0.500)
S (0.000, 0.500, 0.500)
S (0.500, 0.000, 0.500)
Cl (0.500, 0.500, 0.000)

The relative energy among the computed polymorphs is 0 meV per atom. The value obtained for the density of states at the Fermi level is 3.0 states/eV/f.u.

***

No. 3
Computed, not measured: crystalline YGa3Si at its relaxed geometry at the PBE level of DFT.

a b c (Å): 5.423 5.423 5.423
angles (deg): 90.00 90.00 90.00
Element x y z (fractional)
Y (0.000, 0.000, 0.000)
Ga (0.000, 0.000, 0.500)
Ga (0.000, 0.500, 0.000)
Ga (0.500, 0.000, 0.000)
Si (0.500, 0.500, 0.500)

The relative energy among the computed polymorphs is 1346 meV per atom. The value obtained for the density of states at the Fermi level is 3.2 states/eV/f.u.

***

No. 4
Computed, not measured: crystalline Sc2CoMo at its relaxed geometry at the PBE level of DFT.

a b c (Å): 8.840 8.840 8.840
angles (deg): 19.69 19.69 19.69
Element x y z (fractional)
Sc (0.242, 0.242, 0.242)
Sc (0.758, 0.758, 0.758)
Co (0.500, 0.500, 0.500)
Mo (0.000, 0.000, 0.000)

The value obtained for the energy relative to the elements is 0.21 eV/atom. The value obtained for the density of states at the Fermi level is 5.2 states/eV/f.u.